Record 1
Entry from Alexandria via LeMat-Bulk: an optimized crystal structure of BaCrRh (GGA-PBEsol).

Calculated values
As for the symmetry: No. 216. The energy above the lowest structure with this stoichiometry comes out at 624 meV/atom.

a b c (Å): 4.764 4.764 4.764
angles (deg): 60.00 60.00 60.00
Atoms (fractional coordinates):
Ba1 0.250 0.250 0.250
Rh1 0.500 0.500 0.500
Cr1 0.000 0.000 0.000

***

Record 2
Entry from Alexandria via LeMat-Bulk: an optimized crystal structure of BaCaPb2 (GGA-PBEsol).

Calculated values
As for the symmetry: No. 47.

a b c (Å): 3.705 4.650 7.597
angles (deg): 90.00 90.00 90.00
Atoms (fractional coordinates):
Pb1 0.000 0.000 0.289
Pb2 0.000 0.000 0.711
Ca1 0.500 0.500 0.500
Ba1 0.500 0.500 0.000

***

no.,magnetization (μB per formula unit),ΔH_f (0 K) (kJ per mole of atoms)
1,4.8,137.5
2,0.0,-55.4